This record from Alexandria describes a relaxed AcThTlSn crystal. The functional is GGA-PBE.

total moment = 0.00 μB/atom
energy of formation from the pure elements = -6.7 kcal/mol of atoms

a = 5.651 Å, b = 5.651 Å, c = 5.651 Å
α = 60.00°, β = 60.00°, γ = 60.00°
Sites, in units of the cell vectors:
Ac  0.500  0.500  0.500
Sn  0.250  0.250  0.250
Tl  0.750  0.750  0.750
Th  0.000  0.000  0.000